# CaPm2NiO5

An optimized crystal structure of CaPm2NiO5 (PBE+U, the Alexandria database).

Summary:
DFT total energy = -6.930 eV per atom
Symmetry = P4/mbm
Total moment = 0.00 μB per cell

a b c (Å): 5.630 6.581 6.581
angles (deg): 90.00 90.00 90.00
Positions (direct):
O  0.766  0.641  0.859
O  0.766  0.141  0.641
O  0.766  0.359  0.141
O  0.234  0.859  0.359
O  0.500  0.000  0.000
O  0.234  0.641  0.859
O  0.500  0.500  0.500
O  0.234  0.359  0.141
O  0.766  0.859  0.359
O  0.234  0.141  0.641
Ca  0.000  0.500  0.500
Ca  0.000  0.000  0.000
Pm  0.500  0.828  0.672
Pm  0.500  0.672  0.172
Pm  0.500  0.328  0.828
Pm  0.500  0.172  0.328
Ni  0.000  0.500  0.000
Ni  0.000  0.000  0.500